## PuSc2Rh4 (PBE)

Data for a relaxed PuSc2Rh4 crystal.

The structure in CIF format:
```
data_PuSc2Rh4
_cell_length_a 4.469
_cell_length_b 4.469
_cell_length_c 7.994
_cell_angle_alpha 73.77
_cell_angle_beta 73.77
_cell_angle_gamma 60.00
_symmetry_space_group_name_H-M 'P 1'
_symmetry_Int_Tables_number 1
_symmetry_space_group_name_Hall 'P 1'
loop_
_atom_site_label
_atom_site_type_symbol
_atom_site_fract_x
_atom_site_fract_y
_atom_site_fract_z
_atom_site_occupancy
Pu1 Pu 0.000 0.000 0.000 1
Sc1 Sc 0.763 0.763 0.710 1
Sc2 Sc 0.237 0.237 0.290 1
Rh1 Rh 0.877 0.877 0.369 1
Rh2 Rh 0.123 0.123 0.631 1
Rh3 Rh 0.623 0.623 0.132 1
Rh4 Rh 0.377 0.377 0.868 1
```

Summary:
Its calculated volume is 130.9 Å³/f.u. As for the energy: -8.56 eV per atom. As for the symmetry: R-3m.